Compound: La3Pr2Ho2
Source: Alexandria
Functional: PBE
Structure: relaxed

Properties
The value obtained for the density of states at the Fermi level is 23.19 states/eV/cell. As for the energy above the lowest structure with this stoichiometry: 0.0915 eV/atom. The total magnetization comes out at 0.000 μB/atom. The crystal system is monoclinic. The value obtained for the calculated formation energy is 0.112 eV per atom. The symmetry is C2/m (12).

POSCAR file:
```
La3Pr2Ho2
1.0
17.996 0.000 0.000
0.000 3.573 0.000
-4.203 0.000 7.652
La Pr Ho
6 4 4
direct
0.000 0.000 0.000
0.213 0.000 0.293
0.287 0.500 0.707
0.500 0.500 0.000
0.713 0.500 0.293
0.787 0.000 0.707
0.065 0.500 0.412
0.435 0.000 0.588
0.565 0.000 0.412
0.935 0.500 0.588
0.147 0.000 0.833
0.353 0.500 0.167
0.647 0.500 0.833
0.853 0.000 0.167
```